--- A ---
## AcNd3Sm7 (PBE)

Data for a geometry-optimized AcNd3Sm7 structure.

The structure in extended XYZ format:
```
11
Lattice="5.9592 -5.0824 0.0000 5.9592 5.0824 0.0000 -0.5932 0.0000 6.6076" Properties=species:S:1:pos:R:3 pbc="T T T"
Ac 0.0000 0.0000 0.0000
Nd 5.6626 1.7702 3.3038
Nd 5.9592 0.0000 0.0000
Nd 5.6626 -1.7702 3.3038
Sm -0.2966 0.0000 3.3038
Sm 2.5142 1.7729 5.0167
Sm 2.9889 0.0000 1.9693
Sm 2.5142 -1.7729 5.0167
Sm 8.8111 1.7729 1.5908
Sm 8.3363 0.0000 4.6383
Sm 8.8111 -1.7729 1.5908
```

The value obtained for the density of states at the Fermi level is 15.41 states/eV per cell. Its space group is C2/m, No. 12.


--- B ---
## AcNd3Sm7 (PBE)

Data for a geometry-optimized AcNd3Sm7 structure.

The structure in extended XYZ format:
```
11
Lattice="7.2701 0.0000 0.0000 -3.6350 6.2961 0.0000 0.0000 0.0000 8.8673" Properties=species:S:1:pos:R:3 pbc="T T T"
Ac 0.0000 0.0000 0.0000
Nd 0.0000 2.1153 5.8265
Nd -1.8031 5.2384 5.8265
Nd 1.8031 5.2384 5.8265
Sm -1.8096 3.1526 8.8183
Sm 0.0000 4.1974 2.8383
Sm 1.8225 1.0522 2.9259
Sm 1.8096 3.1526 8.8183
Sm 0.0000 6.2869 8.8183
Sm 5.4476 1.0522 2.9259
Sm 3.6350 4.1916 2.9259
```

The value obtained for the density of states at the Fermi level is 17.03 states/eV per cell. Its space group is P3m1, No. 156.


Stability ranking, top and bottom: B is the most stable and A is the least stable.


--- A ---
## AcNd5Sm4 (PBE)

Data for a geometry-optimized AcNd5Sm4 structure.

The structure in extended XYZ format:
```
10
Lattice="13.1556 -1.8526 0.0000 13.1556 1.8526 0.0000 -1.0581 0.0000 7.2953" Properties=species:S:1:pos:R:3 pbc="T T T"
Ac 0.0000 0.0000 0.0000
Nd -0.5290 0.0000 3.6477
Nd 4.6534 0.0000 4.3780
Nd 10.2396 0.0000 1.4720
Nd 15.0136 0.0000 5.8233
Nd 20.5998 0.0000 2.9173
Sm 5.1782 0.0000 0.7338
Sm 9.7189 0.0000 5.0762
Sm 15.5343 0.0000 2.2191
Sm 20.0750 0.0000 6.5615
```

The value obtained for the density of states at the Fermi level is 15.26 states/eV per cell. Its space group is C2/m, No. 12.


--- B ---
## AcNd5Sm4 (PBE)

Data for a geometry-optimized AcNd5Sm4 structure.

The structure in extended XYZ format:
```
10
Lattice="8.9491 -1.8249 0.0000 8.9491 1.8249 0.0000 -1.3343 0.0000 11.2725" Properties=species:S:1:pos:R:3 pbc="T T T"
Ac 0.0000 0.0000 0.0000
Nd -0.6671 0.0000 5.6363
Nd 4.9334 0.0000 4.5379
Nd 5.5546 0.0000 8.2287
Nd 11.0092 0.0000 3.0438
Nd 11.6304 0.0000 6.7346
Sm 2.3839 0.0000 9.9464
Sm 7.7662 0.0000 2.7662
Sm 8.7976 0.0000 8.5063
Sm 14.1800 0.0000 1.3261
```

The value obtained for the density of states at the Fermi level is 14.88 states/eV per cell. Its space group is C2/m, No. 12.


Stability ranking, top and bottom: A is the most stable and B is the least stable.


--- A ---
## AcNd2Sm3 (PBE)

Data for a geometry-optimized AcNd2Sm3 structure.

The structure in extended XYZ format:
```
6
Lattice="3.7327 0.0000 0.0000 0.0100 6.3825 0.0000 0.0217 0.0933 9.0634" Properties=species:S:1:pos:R:3 pbc="T T T"
Ac 0.0000 0.0000 0.0000
Nd 3.7416 2.1683 3.0468
Nd 0.0227 4.3076 6.0166
Sm 1.8797 5.3393 3.0676
Sm 1.8713 3.1913 0.0000
Sm 1.8847 1.1366 5.9957
```

The value obtained for the density of states at the Fermi level is 8.80 states/eV per cell. Its space group is P-1, No. 2.


--- B ---
## AcNd2Sm3 (PBE)

Data for a geometry-optimized AcNd2Sm3 structure.

The structure in extended XYZ format:
```
12
Lattice="5.6758 -5.5369 0.0000 5.6758 5.5369 0.0000 0.0000 0.0000 6.8658" Properties=species:S:1:pos:R:3 pbc="T T T"
Ac 5.6758 4.3651 5.1494
Ac 5.6758 -4.3651 1.7165
Nd 3.9532 2.7609 1.7165
Nd 7.3985 2.7609 1.7165
Nd 3.9532 -2.7609 5.1494
Nd 7.3985 -2.7609 5.1494
Sm 2.9057 0.0000 0.0000
Sm 2.9057 0.0000 3.4329
Sm 5.6758 0.9211 5.1494
Sm 5.6758 -0.9211 1.7165
Sm 8.4460 0.0000 0.0000
Sm 8.4460 0.0000 3.4329
```

The value obtained for the density of states at the Fermi level is 14.73 states/eV per cell. Its space group is Cmcm, No. 63.


Stability ranking, top and bottom: A is the most stable and B is the least stable.


--- A ---
## Ac2Nd2Sm7 (PBE)

Data for a geometry-optimized Ac2Nd2Sm7 structure.

The structure in extended XYZ format:
```
11
Lattice="5.9245 -5.8736 0.0000 5.9245 5.8736 0.0000 -2.5654 0.0000 5.7863" Properties=species:S:1:pos:R:3 pbc="T T T"
Ac 5.9245 3.3406 0.0000
Ac 5.9245 -3.3406 0.0000
Nd 2.7055 0.0000 0.4833
Nd 6.5781 0.0000 5.3030
Sm -1.2827 0.0000 2.8931
Sm 3.0083 3.1459 1.9861
Sm 3.0359 0.0000 3.9470
Sm 6.2753 3.1459 3.8002
Sm 3.0083 -3.1459 1.9861
Sm 6.2477 0.0000 1.8393
Sm 6.2753 -3.1459 3.8002
```

The value obtained for the density of states at the Fermi level is 16.53 states/eV per cell. Its space group is C2/m, No. 12.


--- B ---
## Ac2Nd2Sm7 (PBE)

Data for a geometry-optimized Ac2Nd2Sm7 structure.

The structure in extended XYZ format:
```
11
Lattice="5.0345 -4.6186 0.0000 5.0345 4.6186 0.0000 -2.8801 0.0000 9.0572" Properties=species:S:1:pos:R:3 pbc="T T T"
Ac 0.1033 0.0000 3.6463
Ac 7.0856 0.0000 5.4109
Nd 5.0345 3.1268 0.0000
Nd 5.0345 -3.1268 0.0000
Sm 2.9111 1.7756 1.9827
Sm 1.0209 0.0000 7.7606
Sm 4.2778 1.7756 7.0745
Sm 3.5945 0.0000 4.5286
Sm 2.9111 -1.7756 1.9827
Sm 6.1680 0.0000 1.2966
Sm 4.2778 -1.7756 7.0745
```

The value obtained for the density of states at the Fermi level is 17.60 states/eV per cell. Its space group is C2/m, No. 12.


Stability ranking, top and bottom: A is the most stable and B is the least stable.


--- A ---
## Ac2Nd3Sm4 (PBE)

Data for a geometry-optimized Ac2Nd3Sm4 structure.

The structure in extended XYZ format:
```
9
Lattice="3.7416 0.0000 0.0000 -1.8708 3.2403 0.0000 0.0000 0.0000 27.6339" Properties=species:S:1:pos:R:3 pbc="T T T"
Ac 0.0000 0.0000 0.0000
Ac 0.0000 0.0000 6.3126
Nd 0.0000 0.0000 21.5992
Nd 0.0000 2.1602 3.2128
Nd 0.0000 2.1602 12.7483
Sm 0.0000 0.0000 9.9010
Sm 0.0000 0.0000 15.7673
Sm 0.0000 2.1602 18.6218
Sm 0.0000 2.1602 24.5176
```

The value obtained for the density of states at the Fermi level is 16.44 states/eV per cell. Its space group is P3m1, No. 156.


--- B ---
## Ac2Nd3Sm4 (PBE)

Data for a geometry-optimized Ac2Nd3Sm4 structure.

The structure in extended XYZ format:
```
18
Lattice="8.9118 0.0000 0.0000 0.0000 8.8748 0.0000 -3.4350 0.0000 8.4710" Properties=species:S:1:pos:R:3 pbc="T T T"
Ac 1.3915 1.3353 0.4204
Ac -0.3260 3.1021 4.6559
Ac 5.8029 5.7727 3.8151
Ac 4.0854 7.5395 8.0506
Nd 1.3576 6.0042 2.1336
Nd -0.3598 7.3080 6.3691
Nd 2.7384 0.0000 4.2355
Nd 4.4559 4.4374 0.0000
Nd 5.8367 1.5668 2.1020
Nd 4.1192 2.8706 6.3375
Sm -2.2541 4.7571 7.3570
Sm -0.5366 8.5550 3.1215
Sm 1.3314 1.2087 7.2442
Sm 3.0489 3.2286 3.0087
Sm 2.4280 5.6461 5.4623
Sm 4.1454 7.6660 1.2268
Sm 6.0135 0.3197 5.3495
Sm 7.7309 4.1177 1.1140
```

The value obtained for the density of states at the Fermi level is 28.48 states/eV per cell. Its space group is P2_1/c, No. 14.


Stability ranking, top and bottom: A is the most stable and B is the least stable.


--- A ---
## AcNd3Sm6 (PBE)

Data for a geometry-optimized AcNd3Sm6 structure.

The structure in extended XYZ format:
```
10
Lattice="5.0590 2.9208 4.0633 -5.0590 2.9208 4.0633 0.0000 -5.8417 4.0633" Properties=species:S:1:pos:R:3 pbc="T T T"
Ac 0.0000 0.0000 0.0000
Nd 0.0000 0.0000 3.1760
Nd 0.0000 0.0000 6.0949
Nd 0.0000 0.0000 9.0138
Sm -1.7022 -2.8934 4.0633
Sm -3.3127 0.0000 6.0949
Sm -1.6546 2.9208 4.0633
Sm 1.6564 -2.8689 6.0949
Sm -1.7022 2.8934 8.1265
Sm 1.6564 2.8689 6.0949
```

The value obtained for the density of states at the Fermi level is 21.64 states/eV per cell. Its space group is R32, No. 155.


--- B ---
## AcNd3Sm6 (PBE)

Data for a geometry-optimized AcNd3Sm6 structure.

The structure in extended XYZ format:
```
20
Lattice="5.7688 -6.7571 0.0000 5.7688 6.7571 0.0000 0.0000 0.0000 9.3394" Properties=species:S:1:pos:R:3 pbc="T T T"
Ac 5.7688 3.4740 4.6697
Ac 5.7688 -3.4740 0.0000
Nd 5.7688 6.3980 7.8075
Nd 3.2593 1.0414 8.7175
Nd 3.2593 -1.0414 4.0478
Nd 8.2783 1.0414 8.7175
Nd 8.2783 -1.0414 4.0478
Nd 5.7688 -6.3980 3.1378
Sm 2.1961 1.5476 5.7579
Sm 2.8381 2.1930 2.4964
Sm 5.7688 3.1030 8.7760
Sm 2.1961 -1.5476 1.0882
Sm 2.8381 -2.1930 7.1660
Sm 5.7688 0.1192 1.8203
Sm 5.7688 -0.1192 6.4900
Sm 8.6995 2.1930 2.4964
Sm 9.3415 1.5476 5.7579
Sm 5.7688 -3.1030 4.1063
Sm 8.6995 -2.1930 7.1660
Sm 9.3415 -1.5476 1.0882
```

The value obtained for the density of states at the Fermi level is 28.58 states/eV per cell. Its space group is Cmc2_1, No. 36.


Stability ranking, top and bottom: B is the most stable and A is the least stable.


--- A ---
## AcNd4Sm6 (PBE)

Data for a geometry-optimized AcNd4Sm6 structure.

The structure in extended XYZ format:
```
11
Lattice="-3.9916 3.9916 6.5312 3.9916 -3.9916 6.5312 3.9916 3.9916 -6.5312" Properties=species:S:1:pos:R:3 pbc="T T T"
Ac 0.0000 0.0000 0.0000
Nd 2.6410 2.6410 -0.9676
Nd 1.3506 -1.3506 7.4988
Nd 1.3506 1.3506 5.5635
Nd -1.3506 1.3506 7.4988
Sm 3.9916 0.0000 0.0000
Sm 1.9337 -1.9337 4.0282
Sm 2.0579 2.0579 2.5030
Sm 0.0000 3.9916 0.0000
Sm -1.9337 1.9337 4.0282
Sm 1.9337 1.9337 9.0342
```

The value obtained for the density of states at the Fermi level is 16.98 states/eV per cell. Its space group is I-42m, No. 121.


--- B ---
## AcNd4Sm6 (PBE)

Data for a geometry-optimized AcNd4Sm6 structure.

The structure in extended XYZ format:
```
11
Lattice="-3.3860 3.3860 8.7496 3.3860 -3.3860 8.7496 3.3860 3.3860 -8.7496" Properties=species:S:1:pos:R:3 pbc="T T T"
Ac 0.0000 0.0000 0.0000
Nd 1.2959 1.2959 -3.1441
Nd 2.0901 -2.0901 11.8938
Nd 2.0901 2.0901 5.6055
Nd -2.0901 2.0901 11.8938
Sm 3.3860 0.0000 0.0000
Sm 1.2086 -1.2086 6.5463
Sm 2.1774 2.1774 2.2034
Sm 0.0000 3.3860 0.0000
Sm -1.2086 1.2086 6.5463
Sm 1.2086 1.2086 10.9530
```

The value obtained for the density of states at the Fermi level is 16.61 states/eV per cell. Its space group is I-42m, No. 121.


Stability ranking, top and bottom: B is the most stable and A is the least stable.


--- A ---
## AcNd7Sm2 (PBE)

Data for a geometry-optimized AcNd7Sm2 structure.

The structure in extended XYZ format:
```
10
Lattice="6.0770 -8.6946 0.0000 6.0770 8.6946 0.0000 0.0000 0.0000 3.5972" Properties=species:S:1:pos:R:3 pbc="T T T"
Ac 0.0000 0.0000 0.0000
Nd 3.1260 2.3074 1.7986
Nd 6.0770 3.0064 0.0000
Nd 3.1260 -2.3074 1.7986
Nd 6.0770 0.0000 1.7986
Nd 9.0280 2.3074 1.7986
Nd 6.0770 -3.0064 0.0000
Nd 9.0280 -2.3074 1.7986
Sm 6.0770 5.6328 1.7986
Sm 6.0770 -5.6328 1.7986
```

The value obtained for the density of states at the Fermi level is 15.97 states/eV per cell. Its space group is Cmmm, No. 65.


--- B ---
## AcNd7Sm2 (PBE)

Data for a geometry-optimized AcNd7Sm2 structure.

The structure in extended XYZ format:
```
10
Lattice="4.5032 -8.1697 0.0000 4.5032 8.1697 0.0000 0.0000 0.0000 5.7989" Properties=species:S:1:pos:R:3 pbc="T T T"
Ac 0.0000 0.0000 0.0000
Nd 1.6264 1.9341 2.8994
Nd 4.5032 4.3263 0.0000
Nd 1.6264 -1.9341 2.8994
Nd 4.5032 0.0000 2.8994
Nd 7.3800 1.9341 2.8994
Nd 4.5032 -4.3263 0.0000
Nd 7.3800 -1.9341 2.8994
Sm 4.5032 3.2978 2.8994
Sm 4.5032 -3.2978 2.8994
```

The value obtained for the density of states at the Fermi level is 14.33 states/eV per cell. Its space group is Cmmm, No. 65.


Stability ranking, top and bottom: A is the most stable and B is the least stable.


--- A ---
## Ac2NdSm8 (PBE)

Data for a geometry-optimized Ac2NdSm8 structure.

The structure in extended XYZ format:
```
11
Lattice="7.5411 -3.4647 0.0000 7.5411 3.4647 0.0000 -1.9851 0.0000 7.6507" Properties=species:S:1:pos:R:3 pbc="T T T"
Ac 2.1850 0.0000 2.0079
Ac 10.9120 0.0000 5.6428
Nd -0.9926 0.0000 3.8254
Sm 6.1760 1.6247 1.0205
Sm 2.2019 0.0000 6.1559
Sm 6.9211 1.6247 6.6302
Sm 4.9489 0.0000 4.1134
Sm 8.1481 0.0000 3.5373
Sm 6.1760 -1.6247 1.0205
Sm 10.8951 0.0000 1.4948
Sm 6.9211 -1.6247 6.6302
```

The value obtained for the density of states at the Fermi level is 14.73 states/eV per cell. Its space group is C2/m, No. 12.


--- B ---
## Ac2NdSm8 (PBE)

Data for a geometry-optimized Ac2NdSm8 structure.

The structure in extended XYZ format:
```
11
Lattice="9.9780 -3.5772 0.0000 9.9780 3.5772 0.0000 -0.3107 0.0000 5.7234" Properties=species:S:1:pos:R:3 pbc="T T T"
Ac 4.2770 0.0000 1.4681
Ac 15.3683 0.0000 4.2553
Nd 9.9780 0.0000 0.0000
Sm 0.8031 0.0000 1.3527
Sm 7.4197 1.9004 1.5306
Sm 6.2029 0.0000 4.4273
Sm 12.2256 1.9004 4.1929
Sm 7.4197 -1.9004 1.5306
Sm 13.4424 0.0000 1.2961
Sm 12.2256 -1.9004 4.1929
Sm 18.8422 0.0000 4.3707
```

The value obtained for the density of states at the Fermi level is 17.00 states/eV per cell. Its space group is C2/m, No. 12.


Stability ranking, top and bottom: A is the most stable and B is the least stable.


--- A ---
## Ac8Nd2Sm (PBE)

Data for a geometry-optimized Ac8Nd2Sm structure.

The structure in extended XYZ format:
```
11
Lattice="9.8968 -2.7832 0.0000 9.8968 2.7832 0.0000 -2.3287 0.0000 8.4138" Properties=species:S:1:pos:R:3 pbc="T T T"
Ac 0.3923 0.0000 1.9312
Ac 1.1251 0.0000 5.7872
Ac 4.9369 0.0000 4.9308
Ac 7.9418 0.0000 0.4001
Ac 9.5232 0.0000 8.0138
Ac 12.5280 0.0000 3.4831
Ac 16.3398 0.0000 2.6267
Ac 17.0727 0.0000 6.4826
Nd 4.1718 0.0000 1.1241
Nd 13.2931 0.0000 7.2897
Sm 8.7325 0.0000 4.2069
```

The value obtained for the density of states at the Fermi level is 20.38 states/eV per cell. Its space group is C2/m, No. 12.


--- B ---
## Ac8Nd2Sm (PBE)

Data for a geometry-optimized Ac8Nd2Sm structure.

The structure in extended XYZ format:
```
11
Lattice="6.6424 -6.3360 0.0000 6.6424 6.3360 0.0000 -1.5255 0.0000 6.1167" Properties=species:S:1:pos:R:3 pbc="T T T"
Ac 0.6599 0.0000 1.7888
Ac 4.9886 3.0792 1.2348
Ac 1.7399 0.0000 5.4112
Ac 6.7708 3.0792 4.8819
Ac 4.9886 -3.0792 1.2348
Ac 10.0194 0.0000 0.7055
Ac 6.7708 -3.0792 4.8819
Ac 11.0995 0.0000 4.3279
Nd 4.1759 0.0000 2.9474
Nd 7.5834 0.0000 3.1693
Sm 6.6424 0.0000 0.0000
```

The value obtained for the density of states at the Fermi level is 16.00 states/eV per cell. Its space group is C2/m, No. 12.


Stability ranking, top and bottom: A is the most stable and B is the least stable.